a | MnTlS3: relaxed, PBE.

Unit cell a=4.567 b=4.567 c=4.567 alpha=90.00 beta=90.00 gamma=90.00
Fractional positions:
1 Mn 0.000 0.000 0.000
2 Tl 0.500 0.500 0.500
3 S 0.000 0.000 0.500
4 S 0.000 0.500 0.000
5 S 0.500 0.000 0.000

Output
calculated volume = 95.2 Å³/cell
crystal system = cubic
D(E_F) = 7.98 states/eV per cell

b | MnTlS3: relaxed, PBE.

Unit cell a=5.050 b=5.050 c=5.050 alpha=90.00 beta=90.00 gamma=90.00
Fractional positions:
1 Mn 0.000 0.000 0.000
2 Tl 0.500 0.500 0.500
3 S 0.000 0.500 0.500
4 S 0.500 0.000 0.500
5 S 0.500 0.500 0.000

Output
calculated volume = 128.8 Å³/cell
crystal system = cubic
D(E_F) = 4.37 states/eV per cell

c | MnTlS3: relaxed, PBE.

Unit cell a=8.897 b=8.897 c=5.573 alpha=91.51 beta=91.51 gamma=98.29
Fractional positions:
1 Mn 0.065 0.935 0.750
2 Mn 0.202 0.798 0.250
3 Mn 0.798 0.202 0.750
4 Mn 0.935 0.065 0.250
5 Tl 0.268 0.459 0.523
6 Tl 0.459 0.268 0.023
7 Tl 0.541 0.732 0.977
8 Tl 0.732 0.541 0.477
9 S 0.047 0.176 0.916
10 S 0.058 0.703 0.568
11 S 0.176 0.047 0.416
12 S 0.198 0.580 0.051
13 S 0.297 0.942 0.932
14 S 0.420 0.802 0.449
15 S 0.580 0.198 0.551
16 S 0.703 0.058 0.068
17 S 0.802 0.420 0.949
18 S 0.824 0.953 0.584
19 S 0.942 0.297 0.432
20 S 0.953 0.824 0.084

Output
calculated volume = 436.2 Å³/cell
crystal system = monoclinic
D(E_F) = 9.26 states/eV per cell

Which of them is the most stable, and which is the least stable? c and b, in that order.

a | Tm3MnS6: relaxed, PBE.

Unit cell a=7.077 b=7.077 c=7.077 alpha=55.92 beta=55.92 gamma=55.92
Fractional positions:
1 Tm 0.000 0.000 0.000
2 Tm 0.198 0.198 0.198
3 Tm 0.701 0.701 0.701
4 Mn 0.504 0.504 0.504
5 S 0.130 0.397 0.769
6 S 0.295 0.879 0.605
7 S 0.397 0.769 0.130
8 S 0.605 0.295 0.879
9 S 0.769 0.130 0.397
10 S 0.879 0.605 0.295

Output
calculated volume = 226.9 Å³/cell
crystal system = trigonal
D(E_F) = 4.63 states/eV per cell

b | Tm3MnS6: relaxed, PBE.

Unit cell a=8.370 b=8.370 c=6.453 alpha=90.00 beta=90.00 gamma=102.47
Fractional positions:
1 Tm 0.099 0.901 0.500
2 Tm 0.218 0.416 0.586
3 Tm 0.416 0.218 0.086
4 Tm 0.584 0.782 0.586
5 Tm 0.782 0.584 0.086
6 Tm 0.901 0.099 0.000
7 Mn 0.299 0.701 0.125
8 Mn 0.701 0.299 0.625
9 S 0.067 0.600 0.306
10 S 0.133 0.193 0.292
11 S 0.193 0.133 0.792
12 S 0.280 0.720 0.770
13 S 0.400 0.933 0.306
14 S 0.461 0.539 0.280
15 S 0.539 0.461 0.780
16 S 0.600 0.067 0.806
17 S 0.720 0.280 0.270
18 S 0.807 0.867 0.292
19 S 0.867 0.807 0.792
20 S 0.933 0.400 0.806

Output
calculated volume = 441.4 Å³/cell
crystal system = orthorhombic
D(E_F) = 11.61 states/eV per cell

Which of them is the most stable, and which is the least stable? b and a, in that order.